1.
A plane-wave DFT calculation with GGA-PBE was carried out for a relaxed structure of Pa4NiRh3.

Unit cell a=3.732 b=3.913 c=11.444 alpha=90.00 beta=90.00 gamma=90.00
Fractional coordinates of all 8 atoms:
Ni: 0.500 0.500 0.072
Pa: 0.500 0.500 0.340
Pa: 0.000 0.500 0.872
Pa: 0.000 0.000 0.149
Pa: 0.500 0.000 0.634
Rh: 0.000 0.500 0.609
Rh: 0.000 0.000 0.422
Rh: 0.500 0.000 0.902

- ΔH_f (0 K) (eV/atom) = -0.616
- total magnetic moment (μB per formula unit) = 0.000



2.
A plane-wave DFT calculation with GGA-PBE was carried out for a relaxed structure of Y2ScPb.

Unit cell a=10.960 b=10.960 c=10.960 alpha=18.53 beta=18.53 gamma=18.53
Last column: magnetic moment on the atom in μB.
Fractional coordinates of all 4 atoms:
Pb: 0.497 0.497 0.497  0.01
Sc: 0.754 0.754 0.754  -0.19
Y: 0.003 0.003 0.003  0.02
Y: 0.246 0.246 0.246  0.17

- ΔH_f (0 K) (eV/atom) = -0.125
- total magnetic moment (μB per formula unit) = 0.040



3.
A plane-wave DFT calculation with GGA-PBE was carried out for a relaxed structure of YAsSe3.

Unit cell a=5.008 b=5.008 c=5.008 alpha=90.00 beta=90.00 gamma=90.00
Fractional coordinates of all 5 atoms:
Y: 0.500 0.500 0.500
As: 0.000 0.000 0.000
Se: 0.000 0.500 0.000
Se: 0.000 0.000 0.500
Se: 0.500 0.000 0.000

- ΔE_f (raw) (eV per atom) = -0.42
- total magnetic moment (μB per formula unit) = 0.000



4.
A plane-wave DFT calculation with GGA-PBE was carried out for a relaxed structure of Tm12Bi6C.

Unit cell a=8.410 b=8.410 c=8.410 alpha=99.84 beta=99.84 gamma=99.84
Fractional coordinates of all 19 atoms:
Tm: 0.801 0.583 0.467
Tm: 0.467 0.801 0.583
Tm: 0.583 0.467 0.801
Tm: 0.199 0.417 0.533
Tm: 0.533 0.199 0.417
Tm: 0.417 0.533 0.199
Tm: 0.064 0.006 0.295
Tm: 0.994 0.705 0.936
Tm: 0.705 0.936 0.994
Tm: 0.936 0.994 0.705
Tm: 0.006 0.295 0.064
Tm: 0.295 0.064 0.006
Bi: 0.696 0.887 0.347
Bi: 0.653 0.304 0.113
Bi: 0.113 0.653 0.304
Bi: 0.304 0.113 0.653
Bi: 0.347 0.696 0.887
Bi: 0.887 0.347 0.696
C: 0.000 0.000 0.000

- ΔH_f (0 K) (eV/atom) = -0.427
- total magnetic moment (μB per formula unit) = 0.002



5.
A plane-wave DFT calculation with GGA-PBE was carried out for a relaxed structure of LiPd3.

Unit cell a=2.764 b=4.754 c=4.754 alpha=109.68 beta=90.00 gamma=90.00
Fractional coordinates of all 4 atoms:
Li: 0.000 0.000 0.000
Pd: 0.500 0.500 0.000
Pd: 0.500 0.000 0.500
Pd: 0.000 0.500 0.500

- ΔH_f (0 K) (eV/atom) = -0.292
- total magnetic moment (μB per formula unit) = 0.001



6.
A plane-wave DFT calculation with GGA-PBE was carried out for a relaxed structure of Cs3NdSb2S6.

Unit cell a=7.660 b=7.660 c=9.130 alpha=90.00 beta=90.00 gamma=120.00
Fractional coordinates of all 12 atoms:
Cs: 0.333 0.667 0.642
Cs: 0.667 0.333 0.358
Cs: 0.000 0.000 0.000
Nd: 0.000 0.000 0.500
Sb: 0.667 0.333 0.804
Sb: 0.333 0.667 0.196
S: 0.665 0.832 0.310
S: 0.168 0.335 0.310
S: 0.168 0.832 0.310
S: 0.832 0.665 0.690
S: 0.335 0.168 0.690
S: 0.832 0.168 0.690

- ΔE_f (raw) (eV per atom) = -1.03
- total magnetic moment (μB per formula unit) = 0.000



7.
A plane-wave DFT calculation with GGA-PBE was carried out for a relaxed structure of CaCd2Br.

Unit cell a=5.586 b=5.586 c=5.586 alpha=60.00 beta=60.00 gamma=60.00
Fractional coordinates of all 4 atoms:
Ca: 0.000 0.000 0.000
Br: 0.500 0.500 0.500
Cd: 0.250 0.250 0.250
Cd: 0.750 0.750 0.750

- ΔE_f (raw) (eV per atom) = -0.22
- total magnetic moment (μB per formula unit) = 0.000



8.
A plane-wave DFT calculation with GGA-PBE was carried out for a relaxed structure of DyY2ErS6.

Unit cell a=6.899 b=6.899 c=7.341 alpha=61.97 beta=61.97 gamma=60.00
Fractional coordinates of all 10 atoms:
Dy: 0.816 0.816 0.553
Y: 0.517 0.517 0.448
Y: 0.017 0.017 0.950
Er: 0.317 0.317 0.050
S: 0.612 0.216 0.252
S: 0.216 0.921 0.252
S: 0.921 0.612 0.252
S: 0.417 0.715 0.753
S: 0.715 0.115 0.753
S: 0.115 0.417 0.753

- ΔE_f (raw) (eV per atom) = -2.06
- total magnetic moment (μB per formula unit) = 0.000